No. 1
First-principles (PBE+U) data for crystalline LaCo3Sn4O12 at its relaxed geometry, as listed in OQMD via LeMat-Bulk.

Summary:
Symmetry: No. 204
Energy in eV/atom: -6.38

a b c (Å): 6.771 6.771 6.771
angles (deg): 109.47 109.47 109.47
Positions (direct):
La: 0.000 0.000 0.000
Co: 0.000 0.500 0.500
Co: 0.500 0.000 0.500
Co: 0.500 0.500 0.000
Sn: 0.000 0.000 0.500
Sn: 0.000 0.500 0.000
Sn: 0.500 0.000 0.000
Sn: 0.500 0.500 0.500
O: 0.132 0.304 0.828
O: 0.172 0.475 0.304
O: 0.172 0.868 0.696
O: 0.304 0.172 0.475
O: 0.304 0.828 0.132
O: 0.475 0.304 0.172
O: 0.525 0.696 0.828
O: 0.696 0.172 0.868
O: 0.696 0.828 0.525
O: 0.828 0.132 0.304
O: 0.828 0.525 0.696
O: 0.868 0.696 0.172

=====

No. 2
First-principles (PBE+U) data for crystalline La2CoTcO6 at its relaxed geometry, as listed in OQMD via LeMat-Bulk.

Summary:
Symmetry: No. 2
Energy in eV/atom: -7.82

a b c (Å): 5.512 5.561 5.576
angles (deg): 61.26 61.19 61.29
Positions (direct):
La: 0.250 0.239 0.258
La: 0.750 0.761 0.742
Co: 0.000 0.000 0.000
Tc: 0.500 0.500 0.500
O: 0.186 0.788 0.318
O: 0.253 0.646 0.842
O: 0.320 0.183 0.703
O: 0.680 0.817 0.297
O: 0.747 0.354 0.158
O: 0.814 0.212 0.682

=====

No. 3
First-principles (PBE+U) data for crystalline La2TmCoO6 at its relaxed geometry, as listed in OQMD via LeMat-Bulk.

Summary:
Symmetry: No. 14
Energy in eV/atom: -7.76

a b c (Å): 5.651 5.763 9.812
angles (deg): 90.00 124.07 90.00
Positions (direct):
La: 0.235 0.049 0.248
La: 0.235 0.451 0.748
La: 0.765 0.549 0.252
La: 0.765 0.951 0.752
Tm: 0.500 0.000 0.000
Tm: 0.500 0.500 0.500
Co: 0.000 0.000 0.500
Co: 0.000 0.500 0.000
O: 0.136 0.210 0.942
O: 0.136 0.290 0.442
O: 0.230 0.691 0.949
O: 0.230 0.809 0.449
O: 0.346 0.034 0.741
O: 0.346 0.466 0.241
O: 0.654 0.534 0.759
O: 0.654 0.966 0.259
O: 0.770 0.191 0.551
O: 0.770 0.309 0.051
O: 0.864 0.710 0.558
O: 0.864 0.790 0.058

=====

Question: Which of these has the highest energy?
Answer: LaCo3Sn4O12